# 1
## MgV3Fe (PBE)

Data for an optimized crystal structure of MgV3Fe.

Cell lengths 4.3563, 4.3563, 4.3563 Å; angles 90.00, 90.00, 90.00 degrees
Positions (direct):
Mg (0.0000, 0.0000, 0.0000)
V (0.0000, 0.5000, 0.5000)
V (0.5000, 0.0000, 0.5000)
V (0.5000, 0.5000, 0.0000)
Fe (0.5000, 0.5000, 0.5000)

Summary:
Volume, Å³ per cell: 82.67
Crystal system: cubic

# 2
## MgV2Fe (PBE)

Data for an optimized crystal structure of MgV2Fe.

Cell lengths 5.4652, 5.4652, 5.4652 Å; angles 102.84, 102.84, 123.75 degrees
Positions (direct):
Mg (0.0000, 0.0000, 0.0000)
Mg (0.7500, 0.2500, 0.5000)
V (0.1837, 0.6250, 0.0587)
V (0.3750, 0.4337, 0.5587)
V (0.5663, 0.1250, 0.9413)
V (0.8750, 0.8163, 0.4413)
Fe (0.2500, 0.7500, 0.5000)
Fe (0.5000, 0.5000, 0.0000)

Summary:
Volume, Å³ per cell: 119.70
Crystal system: tetragonal

# 3
## MgV2Fe (PBE)

Data for an optimized crystal structure of MgV2Fe.

Cell lengths 4.2870, 4.2870, 4.2870 Å; angles 60.00, 60.00, 60.00 degrees
Positions (direct):
Mg (0.0000, 0.0000, 0.0000)
V (0.2500, 0.2500, 0.2500)
V (0.7500, 0.7500, 0.7500)
Fe (0.5000, 0.5000, 0.5000)

Summary:
Volume, Å³ per cell: 55.71
Crystal system: cubic

| no. | energy relative to the lowest polymorph listed for this composition (meV/atom) | total magnetic moment (μB/atom) |
| --- | --- | --- |
| 1 | 0 | 0.00 |
| 2 | 107 | 0.00 |
| 3 | 0 | 0.21 |